1.
Density functional theory data (PBE-GGA) for a geometry-optimized ThB4Rh4 structure.

abc: 5.3865 5.3865 7.5973
angles: 90.00 90.00 90.00
With the nearest neighbours (Å) after each atom.
Space group P4_2/nmc (No. 137, origin choice 2)
Asymmetric unit:
Th  0.2500  0.7500  0.2500 [2 per cell]  12 Rh 3.02-3.20, 12 B 3.06-3.20
B  0.0840  0.2500  0.0988 [8 per cell]  1 B 1.79
Rh  0.0006  0.2500  0.3949 [8 per cell]  5 B 2.24-2.29

Properties
The calculation puts the spin magnetization at 0.00 Bohr magnetons per cell. The calculated total energy is -7.6481 eV/atom. The calculation puts the energy relative to the lowest polymorph listed for this composition at 0 kJ/mol of formula units. The formation energy is -0.589 eV per atom.

---

2.
Density functional theory data (PBE-GGA) for a geometry-optimized ThB4Rh8 structure.

abc: 8.2371 8.2371 4.9431
angles: 90.00 90.00 90.00
With the nearest neighbours (Å) after each atom.
Space group I4/mmm (No. 139)
Asymmetric unit:
Th  0.0000  0.0000  0.0000 [2 per cell]  4 Rh 2.74
B  0.2500  0.2500  0.2500 [8 per cell]  8 Rh 2.41-2.50, 2 B 2.47
Rh  0.0000  0.2272  0.5000 [8 per cell]  4 B 2.41, 6 Rh 2.62-2.65
Rh  0.0000  0.3326  0.0000 [8 per cell]  4 B 2.50, 5 Rh 2.62-2.76, 1 Th 2.74

Properties
The calculation puts the spin magnetization at 0.00 Bohr magnetons per cell. The calculated total energy is -7.2495 eV/atom. The formation energy is -0.100 eV per atom.

---

3.
Density functional theory data (PBE-GGA) for a geometry-optimized Th3B7Rh structure.

abc: 3.6702 16.3702 9.6596
angles: 90.00 90.00 90.00
With the nearest neighbours (Å) after each atom.
Space group Cmcm (No. 63)
Asymmetric unit:
Th  0.0000  0.1055  0.0628 [8 per cell]  11 B 2.73-2.83
Th  0.0000  0.2467  0.7500 [4 per cell]  10 B 2.78-2.81
B  0.0000  0.2771  0.0333 [8 per cell]  1 B 1.87
B  0.0000  0.3675  0.1524 [8 per cell]  3 B 1.87-1.90
B  0.0000  0.4664  0.7500 [4 per cell]  2 B 1.78
B  0.0000  0.4777  0.0920 [8 per cell]  3 B 1.78-1.92
Rh  0.0000  0.0563  0.7500 [4 per cell]  10 B 2.35-2.45

Properties
The calculation puts the spin magnetization at 0.00 Bohr magnetons per cell. The calculated total energy is -7.3564 eV/atom. The formation energy is -0.415 eV per atom.

---

4.
Density functional theory data (PBE-GGA) for a geometry-optimized ThB2Rh7 structure.

abc: 3.8837 3.8837 19.1551
angles: 90.00 90.00 90.00
With the nearest neighbours (Å) after each atom.
Space group I4/mmm (No. 139)
Asymmetric unit:
Th  0.0000  0.0000  0.0000 [2 per cell]  12 Rh 2.75-2.94
B  0.0000  0.0000  0.3127 [4 per cell]  8 Rh 2.28-2.38
Rh  0.0000  0.0000  0.5000 [2 per cell]  4 Th 2.75, 8 Rh 2.94
Rh  0.0000  0.5000  0.1155 [8 per cell]  2 B 2.38, 1 Rh 2.58
Rh  0.0000  0.5000  0.2500 [4 per cell]  4 B 2.28

Properties
The calculation puts the spin magnetization at 0.00 Bohr magnetons per cell. The calculated total energy is -7.4842 eV/atom. The formation energy is -0.261 eV per atom.

---

Short version: theoretical density = 10.3 10.9 10.0 11.2 g/cm3, in the order given.